(1)
# Ni2PdO4 | Alexandria via LeMat-Bulk | PBE+U | optimized geometry
data_Ni2PdO4
_chemical_formula_sum 'Ni4 Pd2 O8'
_symmetry_space_group_name_H-M 'C m m m'
_symmetry_Int_Tables_number 65
_symmetry_space_group_name_Hall '-C 2 2'
_cell_length_a 5.970
_cell_length_b 8.578
_cell_length_c 3.035
_cell_angle_alpha 90.00
_cell_angle_beta 90.00
_cell_angle_gamma 90.00
loop_
_atom_site_label
_atom_site_type_symbol
_atom_site_fract_x
_atom_site_fract_y
_atom_site_fract_z
Ni1 Ni 0.250 0.250 0.000
Pd1 Pd 0.000 0.000 0.500
O1 O 0.000 0.236 0.500
O2 O 0.225 0.000 0.000
# DFT total energy: -5.071 eV/atom


(2)
# Ni2PdO | Alexandria via LeMat-Bulk | PBE+U | optimized geometry
data_Ni2PdO
_chemical_formula_sum 'Ni8 Pd4 O4'
_symmetry_space_group_name_H-M 'I -4 2 d'
_symmetry_Int_Tables_number 122
_symmetry_space_group_name_Hall 'I -4 2bw'
_cell_length_a 5.861
_cell_length_b 5.861
_cell_length_c 6.754
_cell_angle_alpha 90.00
_cell_angle_beta 90.00
_cell_angle_gamma 90.00
loop_
_atom_site_label
_atom_site_type_symbol
_atom_site_fract_x
_atom_site_fract_y
_atom_site_fract_z
Ni1 Ni 0.156 0.250 0.125
Pd1 Pd 0.000 0.000 0.500
O1 O 0.000 0.000 0.000
# DFT total energy: -3.638 eV/atom
# Density of states at the Fermi level: 1.4 states/eV/f.u.


(3)
# NiPdO | Alexandria via LeMat-Bulk | PBE+U | optimized geometry
data_NiPdO
_chemical_formula_sum 'Ni8 Pd8 O8'
_symmetry_space_group_name_H-M 'C 1 2/c 1'
_symmetry_Int_Tables_number 15
_symmetry_space_group_name_Hall '-C 2yc'
_cell_length_a 9.785
_cell_length_b 7.918
_cell_length_c 3.965
_cell_angle_alpha 90.00
_cell_angle_beta 90.44
_cell_angle_gamma 90.00
loop_
_atom_site_label
_atom_site_type_symbol
_atom_site_fract_x
_atom_site_fract_y
_atom_site_fract_z
Ni1 Ni 0.243 0.121 0.250
Pd1 Pd 0.000 0.114 0.750
Pd2 Pd 0.000 0.365 0.250
O1 O 0.211 0.370 0.250
# DFT total energy: -4.567 eV/atom
# Density of states at the Fermi level: 1.0 states/eV/f.u.


(4)
# NiPdO3 | Alexandria via LeMat-Bulk | PBE+U | optimized geometry
data_NiPdO3
_chemical_formula_sum 'Ni1 Pd1 O3'
_symmetry_space_group_name_H-M 'P m -3 m'
_symmetry_Int_Tables_number 221
_symmetry_space_group_name_Hall '-P 4 2 3'
_cell_length_a 3.712
_cell_length_b 3.712
_cell_length_c 3.712
_cell_angle_alpha 90.00
_cell_angle_beta 90.00
_cell_angle_gamma 90.00
loop_
_atom_site_label
_atom_site_type_symbol
_atom_site_fract_x
_atom_site_fract_y
_atom_site_fract_z
Ni1 Ni 0.000 0.000 0.000
Pd1 Pd 0.500 0.500 0.500
O1 O 0.000 0.000 0.500
# DFT total energy: -4.360 eV/atom
# Density of states at the Fermi level: 3.3 states/eV/f.u.


(5)
# Pm2NiPdO6 | Alexandria via LeMat-Bulk | PBE+U | optimized geometry
data_Pm2NiPdO6
_chemical_formula_sum 'Pm4 Ni2 Pd2 O12'
_symmetry_space_group_name_H-M 'P 1 21/c 1'
_symmetry_Int_Tables_number 14
_symmetry_space_group_name_Hall '-P 2ybc'
_cell_length_a 5.435
_cell_length_b 5.771
_cell_length_c 9.494
_cell_angle_alpha 90.00
_cell_angle_beta 124.88
_cell_angle_gamma 90.00
loop_
_atom_site_label
_atom_site_type_symbol
_atom_site_fract_x
_atom_site_fract_y
_atom_site_fract_z
Pm1 Pm 0.229 0.071 0.249
Ni1 Ni 0.000 0.000 0.500
Pd1 Pd 0.500 0.000 0.000
O1 O 0.142 0.196 0.947
O2 O 0.255 0.701 0.945
O3 O 0.357 0.034 0.751
# DFT total energy: -6.795 eV/atom


(6)
# PuNi2PdO6 | Alexandria via LeMat-Bulk | PBE+U | optimized geometry
data_PuNi2PdO6
_chemical_formula_sum 'Pu1 Ni2 Pd1 O6'
_symmetry_space_group_name_H-M 'P 1'
_symmetry_Int_Tables_number 1
_symmetry_space_group_name_Hall 'P 1'
_cell_length_a 5.229
_cell_length_b 5.294
_cell_length_c 5.582
_cell_angle_alpha 65.66
_cell_angle_beta 86.59
_cell_angle_gamma 64.70
loop_
_atom_site_label
_atom_site_type_symbol
_atom_site_fract_x
_atom_site_fract_y
_atom_site_fract_z
Pu1 Pu 0.000 0.000 0.000
Ni1 Ni 0.342 0.367 0.949
Ni2 Ni 0.726 0.476 0.394
Pd1 Pd 0.491 0.008 0.509
O1 O 0.018 0.591 0.187
O2 O 0.273 0.813 0.767
O3 O 0.389 0.894 0.234
O4 O 0.611 0.194 0.715
O5 O 0.685 0.222 0.223
O6 O 0.992 0.394 0.777
# DFT total energy: -6.868 eV/atom
# Density of states at the Fermi level: 2.2 states/eV/f.u.


(7)
# PuNiPdO6 | Alexandria via LeMat-Bulk | PBE+U | optimized geometry
data_PuNiPdO6
_chemical_formula_sum 'Pu2 Ni2 Pd2 O12'
_symmetry_space_group_name_H-M 'P -3 1 c'
_symmetry_Int_Tables_number 163
_symmetry_space_group_name_Hall '-P 3 2c'
_cell_length_a 5.2101
_cell_length_b 5.2101
_cell_length_c 9.1293
_cell_angle_alpha 90.00
_cell_angle_beta 90.00
_cell_angle_gamma 120.00
loop_
_atom_site_label
_atom_site_type_symbol
_atom_site_fract_x
_atom_site_fract_y
_atom_site_fract_z
Pu1 Pu 0.3333 0.6667 0.2500
Ni1 Ni 0.0000 0.0000 0.0000
Pd1 Pd 0.3333 0.6667 0.7500
O1 O 0.0002 0.3369 0.1275
# DFT total energy: -7.165 eV/atom
# Density of states at the Fermi level: 5.6 states/eV/f.u.


(8)
# RbNi2PdO | Alexandria via LeMat-Bulk | PBE+U | optimized geometry
data_RbNi2PdO
_chemical_formula_sum 'Rb1 Ni2 Pd1 O1'
_symmetry_space_group_name_H-M 'P 4/m m m'
_symmetry_Int_Tables_number 123
_symmetry_space_group_name_Hall '-P 4 2'
_cell_length_a 4.075
_cell_length_b 4.075
_cell_length_c 5.194
_cell_angle_alpha 90.00
_cell_angle_beta 90.00
_cell_angle_gamma 90.00
loop_
_atom_site_label
_atom_site_type_symbol
_atom_site_fract_x
_atom_site_fract_y
_atom_site_fract_z
Rb1 Rb 0.000 0.000 0.000
Ni1 Ni 0.000 0.500 0.500
Pd1 Pd 0.500 0.500 0.000
O1 O 0.500 0.500 0.500
# DFT total energy: -2.678 eV/atom
# Density of states at the Fermi level: 7.3 states/eV/f.u.


(9)
# Rb2NiPdO4 | Alexandria via LeMat-Bulk | PBE+U | optimized geometry
data_Rb2NiPdO4
_chemical_formula_sum 'Rb16 Ni8 Pd8 O32'
_symmetry_space_group_name_H-M 'F d d d'
_symmetry_Int_Tables_number 70
_cell_length_a 5.692
_cell_length_b 13.790
_cell_length_c 19.136
_cell_angle_alpha 90.00
_cell_angle_beta 90.00
_cell_angle_gamma 90.00
loop_
_symmetry_equiv_pos_as_xyz
'x,y,z'
'-x,-y,-z'
'-x+1/4,-y+1/4,z'
'x+1/4,y+1/4,-z'
'x,-y+1/4,-z+1/4'
'-x,y+1/4,z+1/4'
'-x+1/4,y,-z+1/4'
'x+1/4,-y,z+1/4'
'x,y+1/2,z+1/2'
'-x,-y+1/2,-z+1/2'
'-x+1/4,-y+3/4,z+1/2'
'x+1/4,y+3/4,-z+1/2'
'x,-y+3/4,-z+3/4'
'-x,y+3/4,z+3/4'
'-x+1/4,y+1/2,-z+3/4'
'x+1/4,-y+1/2,z+3/4'
'x+1/2,y,z+1/2'
'-x+1/2,-y,-z+1/2'
'-x+3/4,-y+1/4,z+1/2'
'x+3/4,y+1/4,-z+1/2'
'x+1/2,-y+1/4,-z+3/4'
'-x+1/2,y+1/4,z+3/4'
'-x+3/4,y,-z+3/4'
'x+3/4,-y,z+3/4'
'x+1/2,y+1/2,z'
'-x+1/2,-y+1/2,-z'
'-x+3/4,-y+3/4,z'
'x+3/4,y+3/4,-z'
'x+1/2,-y+3/4,-z+1/4'
'-x+1/2,y+3/4,z+1/4'
'-x+3/4,y+1/2,-z+1/4'
'x+3/4,-y+1/2,z+1/4'
loop_
_atom_site_label
_atom_site_type_symbol
_atom_site_fract_x
_atom_site_fract_y
_atom_site_fract_z
Rb1 Rb 0.125 0.125 0.294
Ni1 Ni 0.125 0.125 0.125
Pd1 Pd 0.125 0.125 0.625
O1 O 0.104 0.283 0.377
# DFT total energy: -4.527 eV/atom
# Density of states at the Fermi level: 3.1 states/eV/f.u.


(10)
# NiPdRuO2 | Alexandria via LeMat-Bulk | PBE+U | optimized geometry
data_NiPdRuO2
_chemical_formula_sum 'Ni1 Pd1 Ru1 O2'
_symmetry_space_group_name_H-M 'P 4/m m m'
_symmetry_Int_Tables_number 123
_symmetry_space_group_name_Hall '-P 4 2'
_cell_length_a 3.903
_cell_length_b 3.903
_cell_length_c 4.710
_cell_angle_alpha 90.00
_cell_angle_beta 90.00
_cell_angle_gamma 90.00
loop_
_atom_site_label
_atom_site_type_symbol
_atom_site_fract_x
_atom_site_fract_y
_atom_site_fract_z
Ni1 Ni 0.000 0.000 0.000
Pd1 Pd 0.000 0.000 0.500
Ru1 Ru 0.500 0.500 0.000
O1 O 0.000 0.500 0.500
# DFT total energy: -4.444 eV/atom
# Density of states at the Fermi level: 3.0 states/eV/f.u.


(11)
# NiPd2SO | Alexandria via LeMat-Bulk | PBE+U | optimized geometry
data_NiPd2SO
_chemical_formula_sum 'Ni1 Pd2 S1 O1'
_symmetry_space_group_name_H-M 'P 4/m m m'
_symmetry_Int_Tables_number 123
_symmetry_space_group_name_Hall '-P 4 2'
_cell_length_a 4.055
_cell_length_b 4.055
_cell_length_c 4.611
_cell_angle_alpha 90.00
_cell_angle_beta 90.00
_cell_angle_gamma 90.00
loop_
_atom_site_label
_atom_site_type_symbol
_atom_site_fract_x
_atom_site_fract_y
_atom_site_fract_z
Ni1 Ni 0.000 0.000 0.000
Pd1 Pd 0.000 0.500 0.500
S1 S 0.500 0.500 0.000
O1 O 0.500 0.500 0.500
# DFT total energy: -3.928 eV/atom
# Density of states at the Fermi level: 2.9 states/eV/f.u.


(12)
# NiSbPdO2 | Alexandria via LeMat-Bulk | PBE+U | optimized geometry
data_NiSbPdO2
_chemical_formula_sum 'Ni1 Sb1 Pd1 O2'
_symmetry_space_group_name_H-M 'P 4/m m m'
_symmetry_Int_Tables_number 123
_symmetry_space_group_name_Hall '-P 4 2'
_cell_length_a 3.879
_cell_length_b 3.879
_cell_length_c 5.710
_cell_angle_alpha 90.00
_cell_angle_beta 90.00
_cell_angle_gamma 90.00
loop_
_atom_site_label
_atom_site_type_symbol
_atom_site_fract_x
_atom_site_fract_y
_atom_site_fract_z
Ni1 Ni 0.000 0.000 0.000
Sb1 Sb 0.500 0.500 0.000
Pd1 Pd 0.500 0.500 0.500
O1 O 0.000 0.500 0.500
# DFT total energy: -3.947 eV/atom
# Density of states at the Fermi level: 3.9 states/eV/f.u.


Q: Among the records above, which one has the lowest DFT total energy?
A: PuNiPdO6